Record 1
Material: HSBr2
Method: DFT, PBE
State: relaxed

The structure in POSCAR format:
```
HSBr2
1.0
2.291 1.323 6.729
-2.291 1.323 6.729
0.000 -2.645 6.729
H S Br
1 1 2
Direct
0.000 0.000 0.000 H
0.500 0.500 0.500 S
0.085 0.085 0.085 Br
0.915 0.915 0.915 Br
```

Results
E_tot: -8.72 eV/cell
magnetization: 3.00 μB per formula unit

---

Record 2
Material: PrAg2F8
Method: DFT, PBE
State: relaxed

The structure in POSCAR format:
```
PrAg2F8
1.0
-2.879 2.879 5.530
2.879 -2.879 5.530
2.879 2.879 -5.530
Pr Ag F
1 2 8
Direct
0.000 0.000 0.000 Pr
0.250 0.750 0.500 Ag
0.750 0.250 0.500 Ag
0.043 0.573 0.862 F
0.181 0.043 0.469 F
0.288 0.427 0.469 F
0.427 0.957 0.138 F
0.573 0.712 0.531 F
0.712 0.181 0.138 F
0.819 0.288 0.862 F
0.957 0.819 0.531 F
```

Results
E_tot: -48.92 eV/cell
magnetization: 1.04 μB per formula unit

---

Record 3
Material: Ba2PmUS6
Method: DFT, PBE
State: relaxed

The structure in POSCAR format:
```
Ba2PmUS6
1.0
7.268 0.000 0.000
0.000 7.558 0.000
-7.244 0.000 10.439
Ba Pm U S
4 2 2 12
Direct
0.233 0.063 0.250 Ba
0.233 0.437 0.750 Ba
0.767 0.563 0.250 Ba
0.767 0.937 0.750 Ba
0.500 0.000 0.000 Pm
0.500 0.500 0.500 Pm
0.000 0.000 0.500 U
0.000 0.500 0.000 U
0.145 0.212 0.951 S
0.145 0.288 0.451 S
0.243 0.696 0.954 S
0.243 0.804 0.454 S
0.331 0.023 0.741 S
0.331 0.477 0.241 S
0.669 0.523 0.759 S
0.669 0.977 0.259 S
0.757 0.196 0.546 S
0.757 0.304 0.046 S
0.855 0.712 0.549 S
0.855 0.788 0.049 S
```

Results
E_tot: -126.64 eV/cell
magnetization: 1.00 μB per formula unit

---

Record 4
Material: KTaAs2F
Method: DFT, PBE
State: relaxed

The structure in POSCAR format:
```
KTaAs2F
1.0
5.263 0.000 0.000
0.000 5.263 0.000
0.000 0.000 4.970
K Ta As F
1 1 2 1
Direct
0.000 0.000 0.000 K
0.000 0.000 0.500 Ta
0.000 0.500 0.000 As
0.500 0.000 0.000 As
0.500 0.500 0.500 F
```

Results
E_tot: -13.49 eV/cell
magnetization: 0.00 μB per formula unit

---

Q: Number 3 is which compound?
A: Ba2PmUS6